[1]
Below is a relaxed Ni2IrSe crystal, with properties calculated at the PBEsol level.

Results
Electronic total energy (eV per atom): -6.054
Uncorrected formation energy (eV/atom): 0.4434
Space group: Cmm2 (35)
Crystal system: orthorhombic
N(E_F) (states/eV per atom): 1.5038
Excess energy over the best structure of this formula in the dataset (meV/atom): 298

Cell lengths 2.657, 2.657, 8.742 Å; angles 90.00, 90.00, 118.79 degrees
Sites, in units of the cell vectors:
1 Se 0.000 0.000 0.531
2 Ni 0.500 0.500 0.760
3 Ir 0.500 0.500 0.223
4 Ni 0.000 0.000 0.985

---

[2]
Below is a relaxed Ni2IrSe crystal, with properties calculated at the PBEsol level.

Results
Electronic total energy (eV per atom): -6.351
Uncorrected formation energy (eV/atom): 0.1458
Space group: Pmm2 (25)
Crystal system: orthorhombic
N(E_F) (states/eV per atom): 0.9777
Excess energy over the best structure of this formula in the dataset (meV/atom): 0

Cell lengths 2.880, 4.072, 4.349 Å; angles 90.00, 90.00, 90.00 degrees
Sites, in units of the cell vectors:
1 Se 0.500 0.000 0.555
2 Ir 0.500 0.500 0.204
3 Ni 0.000 0.000 0.030
4 Ni 0.000 0.500 0.711

---

[3]
Below is a relaxed Ni2IrSe crystal, with properties calculated at the PBEsol level.

Results
Electronic total energy (eV per atom): -6.329
Uncorrected formation energy (eV/atom): 0.1679
Space group: P4mm (99)
Crystal system: tetragonal
N(E_F) (states/eV per atom): 1.1236
Excess energy over the best structure of this formula in the dataset (meV/atom): 22

Cell lengths 3.074, 3.074, 5.370 Å; angles 90.00, 90.00, 90.00 degrees
Sites, in units of the cell vectors:
1 Ni 0.500 0.500 0.245
2 Ir 0.500 0.500 0.768
3 Se 0.000 0.000 0.465
4 Ni 0.000 0.000 0.022